! FeCo2Ru (PBE, optimized geometry); values from VASP
&SYSTEM
  ibrav = 0, nat = 4, ntyp = 3
/
ATOMIC_SPECIES
Fe 55.84 Fe.upf
Co 58.93 Co.upf
Ru 101.07 Ru.upf
CELL_PARAMETERS angstrom
2.593 0.000 0.000
0.000 2.593 0.000
0.000 0.000 7.060
ATOMIC_POSITIONS crystal
Fe 0.000 0.000 0.000
Co 0.000 0.000 0.527
Co 0.500 0.500 0.756
Ru 0.500 0.500 0.264
! **Space group**: P4mm, No. 99
! **Energy**: -7.86 eV/atom
! **Theoretical density**: 9.61 g/cm³

***

! FeCo3Ru (PBE, optimized geometry); values from VASP
&SYSTEM
  ibrav = 0, nat = 5, ntyp = 3
/
ATOMIC_SPECIES
Fe 55.84 Fe.upf
Co 58.93 Co.upf
Ru 101.07 Ru.upf
CELL_PARAMETERS angstrom
4.186 0.000 0.000
0.000 4.186 0.000
0.000 0.000 4.186
ATOMIC_POSITIONS crystal
Fe 0.000 0.000 0.000
Co 0.000 0.000 0.500
Co 0.000 0.500 0.000
Co 0.500 0.000 0.000
Ru 0.500 0.500 0.500
! **Space group**: Pm-3m, No. 221
! **Energy**: -6.53 eV/atom
! **Theoretical density**: 7.56 g/cm³

***

! FeCo2Ru (PBE, optimized geometry); values from VASP
&SYSTEM
  ibrav = 0, nat = 8, ntyp = 3
/
ATOMIC_SPECIES
Fe 55.84 Fe.upf
Co 58.93 Co.upf
Ru 101.07 Ru.upf
CELL_PARAMETERS angstrom
2.834 0.000 0.000
0.000 4.179 0.000
0.000 0.000 8.245
ATOMIC_POSITIONS crystal
Fe 0.000 0.000 0.000
Fe 0.500 0.500 0.500
Co 0.000 0.500 0.262
Co 0.000 0.500 0.738
Co 0.500 0.000 0.238
Co 0.500 0.000 0.762
Ru 0.000 0.000 0.500
Ru 0.500 0.500 0.000
! **Space group**: Immm, No. 71
! **Energy**: -7.83 eV/atom
! **Theoretical density**: 9.34 g/cm³

***

! FeCo3Ru (PBE, optimized geometry); values from VASP
&SYSTEM
  ibrav = 0, nat = 5, ntyp = 3
/
ATOMIC_SPECIES
Fe 55.84 Fe.upf
Co 58.93 Co.upf
Ru 101.07 Ru.upf
CELL_PARAMETERS angstrom
4.377 0.000 0.000
0.000 4.377 0.000
0.000 0.000 4.377
ATOMIC_POSITIONS crystal
Fe 0.000 0.000 0.000
Co 0.000 0.500 0.500
Co 0.500 0.000 0.500
Co 0.500 0.500 0.000
Ru 0.500 0.500 0.500
! **Space group**: Pm-3m, No. 221
! **Energy**: -5.88 eV/atom
! **Theoretical density**: 6.61 g/cm³

***

! Fe6CoRu (PBE, optimized geometry); values from VASP
&SYSTEM
  ibrav = 0, nat = 8, ntyp = 3
/
ATOMIC_SPECIES
Fe 55.84 Fe.upf
Co 58.93 Co.upf
Ru 101.07 Ru.upf
CELL_PARAMETERS angstrom
2.041 1.179 6.660
-2.041 1.179 6.660
0.000 -2.357 6.660
ATOMIC_POSITIONS crystal
Fe 0.122 0.122 0.122
Fe 0.250 0.250 0.250
Fe 0.373 0.373 0.373
Fe 0.627 0.627 0.627
Fe 0.750 0.750 0.750
Fe 0.878 0.878 0.878
Co 0.000 0.000 0.000
Ru 0.500 0.500 0.500
! **Space group**: R-3m, No. 166
! **Energy**: -8.36 eV/atom
! **Theoretical density**: 8.55 g/cm³

***

! FeCo4Ru (PBE, optimized geometry); values from VASP
&SYSTEM
  ibrav = 0, nat = 6, ntyp = 3
/
ATOMIC_SPECIES
Fe 55.84 Fe.upf
Co 58.93 Co.upf
Ru 101.07 Ru.upf
CELL_PARAMETERS angstrom
0.000 3.299 3.299
3.299 0.000 3.299
3.299 3.299 0.000
ATOMIC_POSITIONS crystal
Fe 0.000 0.000 0.000
Co 0.375 0.375 0.375
Co 0.375 0.375 0.876
Co 0.375 0.876 0.375
Co 0.876 0.375 0.375
Ru 0.750 0.750 0.750
! **Space group**: F-43m, No. 216
! **Energy**: -7.56 eV/atom
! **Theoretical density**: 9.08 g/cm³

***

! Fe14CoRu (PBE, optimized geometry); values from VASP
&SYSTEM
  ibrav = 0, nat = 16, ntyp = 3
/
ATOMIC_SPECIES
Fe 55.84 Fe.upf
Co 58.93 Co.upf
Ru 101.07 Ru.upf
CELL_PARAMETERS angstrom
2.859 -4.047 0.000
2.859 4.047 0.000
0.000 0.000 8.102
ATOMIC_POSITIONS crystal
Fe 0.000 0.000 0.000
Fe 0.000 0.500 0.000
Fe 0.000 0.500 0.500
Fe 0.249 0.751 0.248
Fe 0.249 0.751 0.752
Fe 0.254 0.254 0.247
Fe 0.254 0.254 0.753
Fe 0.500 0.000 0.000
Fe 0.500 0.000 0.500
Fe 0.500 0.500 0.000
Fe 0.746 0.746 0.247
Fe 0.746 0.746 0.753
Fe 0.751 0.249 0.248
Fe 0.751 0.249 0.752
Co 0.500 0.500 0.500
Ru 0.000 0.000 0.500
! **Space group**: Cmmm, No. 65
! **Energy**: -8.41 eV/atom
! **Theoretical density**: 8.34 g/cm³

***

! FeCo2Ru (PBE, optimized geometry); values from VASP
&SYSTEM
  ibrav = 0, nat = 4, ntyp = 3
/
ATOMIC_SPECIES
Fe 55.84 Fe.upf
Co 58.93 Co.upf
Ru 101.07 Ru.upf
CELL_PARAMETERS angstrom
2.803 0.000 0.000
0.000 2.803 0.000
0.000 0.000 6.158
ATOMIC_POSITIONS crystal
Fe 0.000 0.000 0.000
Co 0.500 0.500 0.228
Co 0.500 0.500 0.772
Ru 0.000 0.000 0.500
! **Space group**: P4/mmm, No. 123
! **Energy**: -7.85 eV/atom
! **Theoretical density**: 9.43 g/cm³